1 | Density functional theory data (PBE) for crystalline NiBTe2N at its relaxed geometry.

The structure in POSCAR format:
```
NiBTe2N
1.0
-0.8497 -2.1673 4.8308
-3.0195 -3.8207 -2.2452
2.3080 -1.6323 -0.3263
Ni B Te N
1 1 2 1
Cartesian
-0.7806 -3.8101 1.1297
0.0000 0.0000 0.0000
-1.5098 -1.9104 -1.1226
-0.4248 -1.0836 2.4154
1.1540 -0.8161 -0.1632
```

## Properties
* M_tot: 0.00 μB per formula unit

---

2 | Density functional theory data (PBE) for crystalline NiBTe2N at its relaxed geometry.

The structure in POSCAR format:
```
NiBTe2N
1.0
5.2860 0.0000 0.0000
0.0000 5.2860 0.0000
0.0000 0.0000 3.3746
Ni B Te N
1 1 2 1
Cartesian
0.0000 0.0000 0.0000
2.6430 2.6430 1.6873
0.0000 2.6430 0.0000
2.6430 0.0000 0.0000
0.0000 0.0000 1.6873
```

## Properties
* M_tot: 0.00 μB per formula unit

---

Among the structures shown above, 1 is the most stable, with the second-best lying 681 meV/atom higher.